Record 1
# BAuN3

A relaxed structure of BAuN3 (PBEsol, Alexandria via LeMat-Bulk).

Output
E ... -4.179 eV per atom
Formation energy from raw total energies ... 3125.5 meV/atom

Unit cell a=4.0329 b=4.0329 c=4.0329 alpha=90.00 beta=90.00 gamma=90.00
Closest atoms and distances in Å follow each position.
Space group Pm-3m (No. 221)
Asymmetric unit:
B1 0.0000 0.0000 0.0000 (multiplicity 1)  12 N 2.85
Au1 0.5000 0.5000 0.5000 (multiplicity 1)  6 N 2.02
N1 0.0000 0.5000 0.5000 (multiplicity 3)  2 Au 2.02


Record 2
# NbB2Au

A relaxed structure of NbB2Au (PBEsol, Alexandria via LeMat-Bulk).

Output
Calculated formation energy ... 294 kJ/mol of formula units
E ... -6.432 eV per atom

Unit cell a=3.9647 b=3.9647 c=13.9466 alpha=90.00 beta=90.00 gamma=90.00
Closest atoms and distances in Å follow each position.
Space group I-42d (No. 122)
Asymmetric unit:
Nb1 0.0000 0.0000 0.0000 (multiplicity 4)  4 B 2.44
B1 0.1488 0.2500 0.6250 (multiplicity 8)  2 Au 2.09, 2 B 2.31
Au1 0.0000 0.0000 0.5000 (multiplicity 4)  4 B 2.09


Record 3
# Ni3BAu

A relaxed structure of Ni3BAu (PBEsol, Alexandria via LeMat-Bulk).

Output
Calculated formation energy ... 1085 kJ/mol of formula units
E ... -3.634 eV per atom
Energy above the lowest structure with this stoichiometry ... 2268.3 meV/atom

Unit cell a=4.5680 b=4.5680 c=4.5680 alpha=90.00 beta=90.00 gamma=90.00
Closest atoms and distances in Å follow each position.
Space group Pm-3m (No. 221)
Asymmetric unit:
Ni1 0.0000 0.0000 0.5000 (multiplicity 3)  2 Au 2.28
B1 0.5000 0.5000 0.5000 (multiplicity 1)  12 Ni 3.23
Au1 0.0000 0.0000 0.0000 (multiplicity 1)  6 Ni 2.28


DOS(E_F): 0.504, 0.548, 2.561 (states/eV/atom)